Entry 1:
TbSm2Cd after structural relaxation, computed with PBE.

Calculated values
E_form: -0.14 eV/atom
E above lowest polymorph: 0 meV per atom
Space-group type: P4/mmm
Spin magnetization: 0.00 μB per formula unit

Structure (POSCAR):
```
TbSm2Cd
1.0
3.6500 0.0000 0.0000
0.0000 3.6500 0.0000
0.0000 0.0000 9.1272
Tb Sm Cd
1 2 1
direct
0.0000 0.0000 0.0000 Tb
0.5000 0.5000 0.2724 Sm
0.5000 0.5000 0.7276 Sm
0.0000 0.0000 0.5000 Cd
```

Entry 2:
TbSm3Cd3 after structural relaxation, computed with PBE.

Calculated values
E_form: -0.15 eV/atom
Space-group type: Cmmm
Spin magnetization: 0.92 μB per formula unit

Structure (POSCAR):
```
TbSm3Cd3
1.0
5.3660 -5.4347 0.0000
5.3660 5.4347 0.0000
0.0000 0.0000 7.1205
Tb Sm Cd
2 6 6
direct
0.2451 0.7549 0.0000 Tb
0.7549 0.2451 0.0000 Tb
0.2369 0.2369 0.0000 Sm
0.2368 0.2368 0.5000 Sm
0.2430 0.7570 0.5000 Sm
0.7570 0.2430 0.5000 Sm
0.7631 0.7631 0.0000 Sm
0.7632 0.7632 0.5000 Sm
0.0000 0.5000 0.2472 Cd
0.0000 0.5000 0.7528 Cd
0.5000 0.0000 0.2472 Cd
0.5000 0.0000 0.7528 Cd
0.5000 0.5000 0.2486 Cd
0.5000 0.5000 0.7514 Cd
```

Which E_tot belongs to each record? In order, -15.55 -45.15 eV per cell.